1.
Here is a relaxed ZnNiTe2 crystal from Alexandria via LeMat-Bulk. Energies are from PBE.

Calculated values
SG: R-3m (166)
Mass density, g cm⁻³: 7.357

a b c (Å): 6.941 6.941 6.941
angles (deg): 32.44 32.44 32.44
Fractional positions:
Zn 0.000 0.000 0.000
Ni 0.500 0.500 0.500
Te 0.238 0.238 0.238
Te 0.762 0.762 0.762

=====

2.
Here is a relaxed ZnNiTe2 crystal from Alexandria via LeMat-Bulk. Energies are from PBE.

Calculated values
SG: Immm (71)
Mass density, g cm⁻³: 6.606

a b c (Å): 5.424 5.424 5.424
angles (deg): 139.64 106.22 87.63
Fractional positions:
Zn 0.000 0.000 0.000
Ni 0.500 0.500 0.000
Te 0.285 0.785 0.500
Te 0.715 0.215 0.500

=====

These records have E_form (uncorrected) values of -112; 170 meV per atom, in the order they appear.
These records have energy relative to the lowest polymorph listed for this composition values of 0.087; 0.369 eV/atom, in the order they appear.
These records have magnetic moment values of 0.00; 0.00 μB/f.u., in the order they appear.